Here is a relaxed AcPuF14 crystal from the Alexandria database. Energies are from PBE-GGA.

POSCAR file:
```
AcPuF14
1.0
8.3292 -0.9443 0.0496
-3.1015 7.7514 -0.6641
-0.1424 -0.7059 4.6371
F Ac Pu
14 1 1
direct
0.2551 0.9367 0.1884 F
0.3605 0.0572 0.4617 F
0.9395 0.6775 0.5095 F
0.9820 0.0645 0.2291 F
0.1047 0.2556 0.8526 F
0.5386 0.5086 0.7266 F
0.3107 0.6620 0.5726 F
0.4718 0.4410 0.2955 F
0.6513 0.2160 0.9045 F
0.6088 0.9310 0.1447 F
0.0009 0.4659 0.0794 F
0.7744 0.9684 0.6691 F
0.9710 0.7730 0.8108 F
0.8492 0.2897 0.4648 F
0.3414 0.5917 0.0437 Ac
0.8401 0.1612 0.0470 Pu
```

As for the energy relative to the elements, uncorrected: -2.17 eV/atom. As for the crystal system: triclinic. The value obtained for the volume is 282 Å³/cell.

Here is a relaxed Ce2NdEu crystal from the Alexandria database. Energies are from PBE-GGA.

POSCAR file:
```
Ce2NdEu
1.0
-5.1663 -0.8195 -0.3263
0.8423 -4.7103 -1.5065
-0.0577 -1.5374 4.7749
Eu Nd Ce
1 1 2
direct
0.5000 0.0000 0.0000 Eu
0.5000 0.5000 0.5000 Nd
0.0000 0.5000 0.0000 Ce
0.0000 0.0000 0.5000 Ce
```

Its calculated formation energy is 204 meV per atom. As for the crystal system: tetragonal. The value obtained for the volume is 132 Å³/cell.

Here is a relaxed Hf2ScAlH crystal from the Alexandria database. Energies are from PBE-GGA.

POSCAR file:
```
Hf2ScAlH
1.0
-3.0433 -0.7620 -3.0257
-0.3582 -4.1133 1.3962
-3.1104 1.2279 2.8193
H Sc Hf Al
1 1 2 1
direct
0.0000 0.0000 0.0000 H
0.0000 0.0000 0.5000 Sc
0.5000 0.0000 0.0000 Hf
0.0000 0.5000 0.0000 Hf
0.5000 0.5000 0.5000 Al
```

For the total energy, the calculation gives -6.988 eV per atom. As for the crystal system: tetragonal. The value obtained for the volume is 83 Å³/cell.

Here is a relaxed La3Y2Au3 crystal from the Alexandria database. Energies are from PBE-GGA.

POSCAR file:
```
La3Y2Au3
1.0
3.7044 0.0000 -0.5966
-0.2041 5.2707 -1.2675
-0.0262 0.0056 11.6366
Au La Y
3 3 2
direct
0.8747 0.8747 0.7495 Au
0.1253 0.1253 0.2505 Au
0.0000 0.5000 0.0000 Au
0.5000 0.0000 0.0000 La
0.6175 0.6175 0.2350 La
0.3825 0.3825 0.7650 La
0.2703 0.7703 0.5405 Y
0.7297 0.2297 0.4595 Y
```

Its calculated formation energy is -596 meV per atom. As for the crystal system: orthorhombic. The value obtained for the volume is 227 Å³/cell.

Here is a relaxed SrGaSCl2 crystal from the Alexandria database. Energies are from PBE-GGA.

POSCAR file:
```
SrGaSCl2
1.0
-0.0747 0.0132 5.6086
3.4887 -4.3918 0.0568
4.5757 3.6355 0.0524
Cl S Sr Ga
2 1 1 1
direct
0.5000 0.0000 0.0000 Cl
0.0000 0.5000 0.0000 Cl
0.0000 0.0000 0.5000 S
0.0000 0.0000 0.0000 Sr
0.5000 0.5000 0.5000 Ga
```

As for the energy relative to the elements, uncorrected: -0.96 eV/atom. As for the crystal system: tetragonal. The value obtained for the volume is 184 Å³/cell.

Here is a relaxed Na3CuAg3Cl8 crystal from the Alexandria database. Energies are from PBE-GGA.

POSCAR file:
```
Na3CuAg3Cl8
1.0
7.9261 0.0000 0.0000
-3.9630 7.0159 0.1800
0.0000 -4.4668 6.2900
Cl Cu Ag Na
8 1 3 3
direct
0.2554 0.5107 0.2568 Cl
0.7877 0.9903 0.7105 Cl
0.7446 0.4893 0.7432 Cl
0.7419 0.4838 0.2248 Cl
0.2027 0.9903 0.7105 Cl
0.2123 0.0097 0.2895 Cl
0.7973 0.0097 0.2895 Cl
0.2581 0.5162 0.7752 Cl
0.0000 0.0000 0.5000 Cu
0.0000 0.0000 0.0000 Ag
0.5000 0.5000 0.0000 Ag
0.0000 0.5000 0.0000 Ag
0.5000 0.5000 0.5000 Na
0.5000 0.0000 0.5000 Na
0.0000 0.5000 0.5000 Na
```

As for the energy relative to the elements, uncorrected: -0.97 eV/atom. As for the crystal system: monoclinic. The value obtained for the volume is 356 Å³/cell.

Here is a relaxed Ca2Zn15Ni2 crystal from the Alexandria database. Energies are from PBE-GGA.

POSCAR file:
```
Ca2Zn15Ni2
1.0
-2.5576 -6.1938 1.0008
3.9775 -3.2931 -4.3864
4.6277 -2.1311 4.4663
Ca Zn Ni
2 15 2
direct
0.3353 0.3353 0.3353 Ca
0.6647 0.6647 0.6647 Ca
0.3479 0.3479 0.8519 Zn
0.2847 0.0000 0.7153 Zn
0.7153 0.2847 0.0000 Zn
0.6521 0.1481 0.6521 Zn
0.0000 0.7153 0.2847 Zn
0.2847 0.7153 0.0000 Zn
0.3479 0.8519 0.3479 Zn
0.8519 0.3479 0.3479 Zn
0.0000 0.5000 0.0000 Zn
0.0000 0.0000 0.5000 Zn
0.5000 0.0000 0.0000 Zn
0.1481 0.6521 0.6521 Zn
0.0000 0.2847 0.7153 Zn
0.6521 0.6521 0.1481 Zn
0.7153 0.0000 0.2847 Zn
0.9016 0.9016 0.9016 Ni
0.0984 0.0984 0.0984 Ni
```

Its calculated formation energy is -169 meV per atom. As for the crystal system: trigonal. The value obtained for the volume is 304 Å³/cell.

Here is a relaxed NaTeAu2F crystal from the Alexandria database. Energies are from PBE-GGA.

POSCAR file:
```
NaTeAu2F
1.0
-3.1275 -1.8180 3.5802
4.2297 -1.7123 2.8254
0.1852 4.4679 2.4305
Na Au F Te
1 2 1 1
direct
0.0000 0.0000 0.0000 Na
0.5000 0.0000 0.0000 Au
0.0000 0.0000 0.5000 Au
0.5000 0.5000 0.5000 F
0.0000 0.5000 0.0000 Te
```

As for the energy relative to the elements, uncorrected: 0.64 eV/atom. As for the crystal system: tetragonal. The value obtained for the volume is 139 Å³/cell.

Here is a relaxed HfMg2IrO crystal from the Alexandria database. Energies are from PBE-GGA.

POSCAR file:
```
HfMg2IrO
1.0
-3.2498 -2.2054 0.0946
2.8171 -4.0680 1.9403
-0.7327 1.2365 3.6562
Hf Ir O Mg
1 1 1 2
direct
0.5000 0.5000 0.5000 Hf
0.0000 0.5000 0.0000 Ir
0.0000 0.0000 0.0000 O
0.5000 0.0000 0.0000 Mg
0.0000 0.0000 0.5000 Mg
```

As for the energy relative to the elements, uncorrected: -0.66 eV/atom. As for the crystal system: tetragonal. The value obtained for the volume is 82 Å³/cell.

Here is a relaxed SmThGeS crystal from the Alexandria database. Energies are from PBE-GGA.

POSCAR file:
```
SmThGeS
1.0
-0.4686 -2.0235 -3.6602
1.1709 -4.0278 -0.3426
-5.8821 -3.9527 0.5188
Ge Th Sm S
1 1 1 1
direct
0.9444 0.9444 0.1669 Ge
0.1935 0.1935 0.4194 Th
0.6947 0.6947 0.9160 Sm
0.4439 0.4439 0.6684 S
```

As for the energy relative to the elements, uncorrected: -1.39 eV/atom. As for the crystal system: trigonal. The value obtained for the volume is 102 Å³/cell.

Here is a relaxed AcPmAu2 crystal from the Alexandria database. Energies are from PBE-GGA.

POSCAR file:
```
AcPmAu2
1.0
4.2778 0.0000 0.0000
2.1389 3.7047 0.0000
2.1389 1.2349 7.7514
Au Pm Ac
2 1 1
direct
0.2554 0.2554 0.2339 Au
0.7446 0.7446 0.7661 Au
0.0000 0.0000 0.0000 Pm
0.5000 0.5000 0.5000 Ac
```

Its calculated formation energy is -700 meV per atom. As for the crystal system: trigonal. The value obtained for the volume is 123 Å³/cell.

Here is a relaxed NaAg3F6 crystal from the Alexandria database. Energies are from PBE-GGA.

POSCAR file:
```
NaAg3F6
1.0
-2.7490 0.1244 2.4821
-2.8087 -5.6556 -2.8274
4.4737 -1.5848 5.0342
F Ag Na
6 3 1
direct
0.5000 0.3488 0.6512 F
0.0000 0.3199 0.0705 F
0.0000 0.6801 0.9295 F
0.0000 0.0705 0.3199 F
0.5000 0.6512 0.3488 F
0.0000 0.9295 0.6801 F
0.5000 0.5000 0.0000 Ag
0.5000 0.0000 0.5000 Ag
0.0000 0.0000 0.0000 Ag
0.0000 0.5000 0.5000 Na
```

As for the energy relative to the elements, uncorrected: -1.43 eV/atom. As for the crystal system: orthorhombic. The value obtained for the volume is 165 Å³/cell.

Here is a relaxed Y2CoNi crystal from the Alexandria database. Energies are from PBE-GGA.

POSCAR file:
```
Y2CoNi
1.0
7.2335 0.0043 0.0026
6.1797 3.7598 0.0026
6.1797 1.7342 3.3360
Co Ni Y
1 1 2
direct
0.4579 0.4579 0.4579 Co
0.7920 0.7920 0.7920 Ni
0.0360 0.0360 0.0360 Y
0.2141 0.2141 0.2141 Y
```

Its calculated formation energy is -247 meV per atom. As for the crystal system: trigonal. The value obtained for the volume is 91 Å³/cell.

Here is a relaxed CdPdO3 crystal from the Alexandria database. Energies are from PBE-GGA.

POSCAR file:
```
CdPdO3
1.0
4.1019 0.0000 0.0000
0.0000 4.1019 0.0000
0.0000 0.0000 4.1019
Cd Pd O
1 1 3
direct
0.0000 0.0000 0.0000 Cd
0.5000 0.5000 0.5000 Pd
0.5000 0.0000 0.0000 O
0.0000 0.5000 0.0000 O
0.0000 0.0000 0.5000 O
```

As for the energy relative to the elements, uncorrected: 0.58 eV/atom. As for the crystal system: cubic. The value obtained for the volume is 69 Å³/cell.

Here is a relaxed CaNbO3 crystal from the Alexandria database. Energies are from PBE-GGA.

POSCAR file:
```
CaNbO3
1.0
-1.1664 0.4060 -3.0329
2.7803 -4.3220 -1.6478
-5.9562 -4.4765 1.6914
O Ca Nb
6 2 2
direct
0.0000 0.1521 0.2500 O
0.5000 0.2390 0.5443 O
0.0000 0.8479 0.7500 O
0.5000 0.2390 0.9557 O
0.5000 0.7610 0.4557 O
0.5000 0.7610 0.0443 O
0.5000 0.4470 0.2500 Ca
0.5000 0.5530 0.7500 Ca
0.0000 0.0000 0.5000 Nb
0.0000 0.0000 0.0000 Nb
```

As for the energy relative to the elements, uncorrected: -2.60 eV/atom. As for the crystal system: orthorhombic. The value obtained for the volume is 135 Å³/cell.

Here is a relaxed LiHCl crystal from the Alexandria database. Energies are from PBE-GGA.

POSCAR file:
```
LiHCl
1.0
5.7945 0.0000 0.0000
0.0000 8.8444 -1.1728
0.0000 -1.1728 8.8444
H Li Cl
8 8 8
direct
0.5000 0.3377 0.0853 H
0.0000 0.2383 0.6812 H
0.0000 0.4147 0.1623 H
0.0000 0.6922 0.7719 H
0.5000 0.3996 0.4025 H
0.0000 0.0975 0.1004 H
0.5000 0.8188 0.2617 H
0.5000 0.7281 0.8078 H
0.7500 0.2734 0.2266 Li
0.7500 0.4623 0.0377 Li
0.7743 0.9534 0.0467 Li
0.2500 0.4623 0.0377 Li
0.2500 0.2734 0.2266 Li
0.7257 0.4533 0.5466 Li
0.2743 0.4533 0.5466 Li
0.2257 0.9534 0.0467 Li
0.0000 0.2606 0.4658 Cl
0.5000 0.5124 0.7858 Cl
0.5000 0.0342 0.2394 Cl
0.0000 0.7142 0.9876 Cl
0.0000 0.6782 0.6137 Cl
0.5000 0.6708 0.2686 Cl
0.5000 0.8863 0.8218 Cl
0.0000 0.2314 0.8292 Cl
```

For the total energy, the calculation gives -3.196 eV per atom. As for the crystal system: orthorhombic. The value obtained for the volume is 445 Å³/cell.

Here is a relaxed TaBe2Au crystal from the Alexandria database. Energies are from PBE-GGA.

POSCAR file:
```
TaBe2Au
1.0
4.8537 -0.0005 0.0064
4.0744 2.6379 0.0064
1.3466 0.3978 4.1530
Au Ta Be
1 1 2
direct
0.2703 0.2703 0.1969 Au
0.4833 0.4833 0.5479 Ta
0.0265 0.0265 0.0099 Be
0.7199 0.7199 0.7453 Be
```

Its calculated formation energy is 115 meV per atom. As for the crystal system: monoclinic. The value obtained for the volume is 53 Å³/cell.

Here is a relaxed Ca2AcPrAg4 crystal from the Alexandria database. Energies are from PBE-GGA.

POSCAR file:
```
Ca2AcPrAg4
1.0
5.3563 0.0000 0.0000
2.6781 4.6387 0.0000
2.6781 1.5462 8.7970
Ac Pr Ag Ca
1 1 4 2
direct
0.0000 0.0000 0.0000 Ac
0.5000 0.5000 0.5000 Pr
0.1270 0.1270 0.6191 Ag
0.3785 0.3785 0.8646 Ag
0.6215 0.6215 0.1354 Ag
0.8730 0.8730 0.3809 Ag
0.2480 0.2480 0.2561 Ca
0.7520 0.7520 0.7439 Ca
```

Its calculated formation energy is -297 meV per atom. As for the crystal system: trigonal. The value obtained for the volume is 219 Å³/cell.

Here is a relaxed YU2Ru3 crystal from the Alexandria database. Energies are from PBE-GGA.

POSCAR file:
```
YU2Ru3
1.0
5.2761 0.0000 2.7793
1.9374 6.3984 2.7197
-0.4251 0.0325 7.2047
U Y Ru
4 2 6
direct
0.3334 0.4167 0.4167 U
0.6668 0.0833 0.0833 U
0.3332 0.9167 0.9167 U
0.6666 0.5833 0.5833 U
0.0001 0.2500 0.2500 Y
0.9999 0.7500 0.7500 Y
0.5000 0.0000 0.5000 Ru
0.0000 0.2501 0.7499 Ru
0.5000 0.5000 0.0000 Ru
0.0000 0.7499 0.2501 Ru
0.5000 0.7501 0.2499 Ru
0.5000 0.2499 0.7501 Ru
```

Its calculated formation energy is -212 meV per atom. As for the crystal system: hexagonal. The value obtained for the volume is 250 Å³/cell.

Here is a relaxed CdIrAu2 crystal from the Alexandria database. Energies are from PBE-GGA.

POSCAR file:
```
CdIrAu2
1.0
-2.3868 4.2393 0.7630
-3.0991 -0.9444 3.7087
4.8491 -0.8164 -0.2642
Au Ir Cd
2 1 1
direct
0.0000 0.0000 0.0000 Au
0.5000 0.5000 0.0000 Au
0.7500 0.2500 0.5000 Ir
0.2500 0.7500 0.5000 Cd
```

Its calculated formation energy is 205 meV per atom. As for the crystal system: tetragonal. The value obtained for the volume is 70 Å³/cell.